Entry 1:
CaH4 | PBE-GGA | optimized geometry

Properties
As for the total energy: -2.30 eV per atom. Its crystal system is cubic.

```
data_CaH4
_space_group_name_H-M_alt 'P m -3 m'
_space_group_IT_number 221
_space_group_name_Hall '-P 4 2 3'
_cell_length_a 4.3505
_cell_length_b 4.3505
_cell_length_c 4.3505
_cell_angle_alpha 90.00
_cell_angle_beta 90.00
_cell_angle_gamma 90.00
loop_
_atom_site_label
_atom_site_type_symbol
_atom_site_fract_x
_atom_site_fract_y
_atom_site_fract_z
_atom_site_occupancy
Ca1 Ca 0.0000 0.0000 0.0000 1
H1 H 0.0000 0.0000 0.5000 1
H2 H 0.5000 0.5000 0.5000 1
```

***

Entry 2:
Ba2GeO | PBE-GGA | optimized geometry

Properties
The energy relative to the elements, uncorrected is -1.22 eV per atom. For the distance to the lowest polymorph of the same formula, the calculation gives 0 meV per atom. Its crystal system is tetragonal.

```
data_Ba2GeO
_space_group_name_H-M_alt 'I -4 2 d'
_space_group_IT_number 122
_space_group_name_Hall 'I -4 2bw'
_cell_length_a 7.6554
_cell_length_b 7.6554
_cell_length_c 9.1586
_cell_angle_alpha 90.00
_cell_angle_beta 90.00
_cell_angle_gamma 90.00
loop_
_atom_site_label
_atom_site_type_symbol
_atom_site_fract_x
_atom_site_fract_y
_atom_site_fract_z
_atom_site_occupancy
Ba1 Ba 0.1615 0.2500 0.1250 1
Ge1 Ge 0.0000 0.0000 0.5000 1
O1 O 0.0000 0.0000 0.0000 1
```

***

Entry 3:
Zr3Zn4 | PBE-GGA | optimized geometry

Properties
For the distance to the lowest polymorph of the same formula, the calculation gives 333 meV per atom. Its crystal system is hexagonal. Its formation energy is 140 meV per atom.

```
data_Zr3Zn4
_space_group_name_H-M_alt 'P 6/m m m'
_space_group_IT_number 191
_space_group_name_Hall '-P 6 2'
_cell_length_a 5.6540
_cell_length_b 5.6540
_cell_length_c 5.1314
_cell_angle_alpha 90.00
_cell_angle_beta 90.00
_cell_angle_gamma 120.00
loop_
_atom_site_label
_atom_site_type_symbol
_atom_site_fract_x
_atom_site_fract_y
_atom_site_fract_z
_atom_site_occupancy
Zr1 Zr 0.0000 0.5000 0.0000 1
Zn1 Zn 0.0000 0.0000 0.2463 1
Zn2 Zn 0.3333 0.6667 0.5000 1
```

***

Entry 4:
Sr3Hg | PBE-GGA | optimized geometry

Properties
For the distance to the lowest polymorph of the same formula, the calculation gives 68 meV per atom. Its crystal system is hexagonal. Its formation energy is -215 meV per atom.

```
data_Sr3Hg
_space_group_name_H-M_alt 'P -6 m 2'
_space_group_IT_number 187
_space_group_name_Hall 'P -6 2'
_cell_length_a 4.2928
_cell_length_b 4.2928
_cell_length_c 11.5297
_cell_angle_alpha 90.00
_cell_angle_beta 90.00
_cell_angle_gamma 120.00
loop_
_atom_site_label
_atom_site_type_symbol
_atom_site_fract_x
_atom_site_fract_y
_atom_site_fract_z
_atom_site_occupancy
Sr1 Sr 0.0000 0.0000 0.0000 1
Sr2 Sr 0.6667 0.3333 0.3055 1
Hg1 Hg 0.0000 0.0000 0.5000 1
```

***

Entry 5:
ZrSnMo2 | PBE-GGA | optimized geometry

Properties
Its crystal system is tetragonal. Its formation energy is 781 meV per atom.

```
data_ZrSnMo2
_space_group_name_H-M_alt 'I -4 2 d'
_space_group_IT_number 122
_space_group_name_Hall 'I -4 2bw'
_cell_length_a 7.5376
_cell_length_b 7.5376
_cell_length_c 5.6959
_cell_angle_alpha 90.00
_cell_angle_beta 90.00
_cell_angle_gamma 90.00
loop_
_atom_site_label
_atom_site_type_symbol
_atom_site_fract_x
_atom_site_fract_y
_atom_site_fract_z
_atom_site_occupancy
Zr1 Zr 0.0000 0.0000 0.0000 1
Sn1 Sn 0.0000 0.0000 0.5000 1
Mo1 Mo 0.2450 0.2500 0.6250 1
```

***

Entry 6:
Nd5SmEr2 | PBE-GGA | optimized geometry

Properties
For the distance to the lowest polymorph of the same formula, the calculation gives 211 meV per atom. Its crystal system is monoclinic. Its formation energy is 225 meV per atom.

```
data_Nd5SmEr2
_space_group_name_H-M_alt 'P 1 21/m 1'
_space_group_IT_number 11
_space_group_name_Hall '-P 2yb'
_cell_length_a 7.1882
_cell_length_b 10.0770
_cell_length_c 8.0796
_cell_angle_alpha 90.00
_cell_angle_beta 103.00
_cell_angle_gamma 90.00
loop_
_atom_site_label
_atom_site_type_symbol
_atom_site_fract_x
_atom_site_fract_y
_atom_site_fract_z
_atom_site_occupancy
Nd1 Nd 0.0768 0.2500 0.2780 1
Nd2 Nd 0.0880 0.5932 0.3602 1
Nd3 Nd 0.2543 0.5283 0.0009 1
Sm1 Sm 0.4310 0.7500 0.7148 1
Er1 Er 0.4074 0.0904 0.6340 1
```

***

Entry 7:
PHPd2 | PBE-GGA | optimized geometry

Properties
For the distance to the lowest polymorph of the same formula, the calculation gives 0 meV per atom. Its crystal system is tetragonal.

```
data_PHPd2
_space_group_name_H-M_alt 'I -4 2 d'
_space_group_IT_number 122
_space_group_name_Hall 'I -4 2bw'
_cell_length_a 4.8704
_cell_length_b 4.8704
_cell_length_c 9.1446
_cell_angle_alpha 90.00
_cell_angle_beta 90.00
_cell_angle_gamma 90.00
loop_
_atom_site_label
_atom_site_type_symbol
_atom_site_fract_x
_atom_site_fract_y
_atom_site_fract_z
_atom_site_occupancy
P1 P 0.0000 0.0000 0.0000 1
H1 H 0.0000 0.0000 0.5000 1
Pd1 Pd 0.1708 0.2500 0.6250 1
```

***

Entry 8:
HfNbTcPt2 | PBE-GGA | optimized geometry

Properties
Its crystal system is tetragonal. Its formation energy is 1421 meV per atom.

```
data_HfNbTcPt2
_space_group_name_H-M_alt 'P 4/m m m'
_space_group_IT_number 123
_space_group_name_Hall '-P 4 2'
_cell_length_a 4.8273
_cell_length_b 4.8273
_cell_length_c 4.9766
_cell_angle_alpha 90.00
_cell_angle_beta 90.00
_cell_angle_gamma 90.00
loop_
_atom_site_label
_atom_site_type_symbol
_atom_site_fract_x
_atom_site_fract_y
_atom_site_fract_z
_atom_site_occupancy
Hf1 Hf 0.0000 0.0000 0.0000 1
Nb1 Nb 0.0000 0.0000 0.5000 1
Tc1 Tc 0.5000 0.5000 0.5000 1
Pt1 Pt 0.0000 0.5000 0.0000 1
```

***

Entry 9:
TiBi2O6 | PBE-GGA | optimized geometry

Properties
The energy relative to the elements, uncorrected is -1.37 eV per atom. Its crystal system is tetragonal.

```
data_TiBi2O6
_space_group_name_H-M_alt 'P 4 m m'
_space_group_IT_number 99
_space_group_name_Hall 'P 4 -2'
_cell_length_a 3.7123
_cell_length_b 3.7123
_cell_length_c 9.0233
_cell_angle_alpha 90.00
_cell_angle_beta 90.00
_cell_angle_gamma 90.00
loop_
_atom_site_label
_atom_site_type_symbol
_atom_site_fract_x
_atom_site_fract_y
_atom_site_fract_z
_atom_site_occupancy
Ti1 Ti 0.0000 0.0000 0.0000 1
Bi1 Bi 0.5000 0.5000 0.2509 1
Bi2 Bi 0.5000 0.5000 0.6557 1
O1 O 0.0000 0.0000 0.2866 1
O2 O 0.0000 0.0000 0.8069 1
O3 O 0.0000 0.5000 0.0701 1
O4 O 0.0000 0.5000 0.5150 1
```

***

Entry 10:
TaCr2Se | PBE-GGA | optimized geometry

Properties
The energy relative to the elements, uncorrected is 0.60 eV per atom. Its crystal system is tetragonal.

```
data_TaCr2Se
_space_group_name_H-M_alt 'I -4 2 d'
_space_group_IT_number 122
_space_group_name_Hall 'I -4 2bw'
_cell_length_a 7.1169
_cell_length_b 7.1169
_cell_length_c 5.3057
_cell_angle_alpha 90.00
_cell_angle_beta 90.00
_cell_angle_gamma 90.00
loop_
_atom_site_label
_atom_site_type_symbol
_atom_site_fract_x
_atom_site_fract_y
_atom_site_fract_z
_atom_site_occupancy
Ta1 Ta 0.0000 0.0000 0.0000 1
Cr1 Cr 0.2088 0.2500 0.6250 1
Se1 Se 0.0000 0.0000 0.5000 1
```

***

Entry 11:
CdCu3Au6 | PBE-GGA | optimized geometry

Properties
For the distance to the lowest polymorph of the same formula, the calculation gives 0 meV per atom. Its crystal system is monoclinic. Its formation energy is -61 meV per atom.

```
data_CdCu3Au6
_space_group_name_H-M_alt 'P 1 21/m 1'
_space_group_IT_number 11
_space_group_name_Hall '-P 2yb'
_cell_length_a 8.1791
_cell_length_b 4.3626
_cell_length_c 9.4549
_cell_angle_alpha 90.00
_cell_angle_beta 100.30
_cell_angle_gamma 90.00
loop_
_atom_site_label
_atom_site_type_symbol
_atom_site_fract_x
_atom_site_fract_y
_atom_site_fract_z
_atom_site_occupancy
Cd1 Cd 0.0563 0.2500 0.3985 1
Cu1 Cu 0.2551 0.2500 0.0150 1
Cu2 Cu 0.3522 0.7500 0.8180 1
Cu3 Cu 0.4542 0.2500 0.6012 1
Au1 Au 0.0622 0.7500 0.9122 1
Au2 Au 0.1560 0.7500 0.2136 1
Au3 Au 0.1783 0.2500 0.7221 1
Au4 Au 0.2737 0.7500 0.5254 1
Au5 Au 0.3775 0.2500 0.3049 1
Au6 Au 0.4614 0.7500 0.1008 1
```

***

In μB/f.u., the total magnetization values for the records above are, in order, 1.97, 0.00, 0.00, 0.00, 0.00, 0.00, 0.00, 2.31, 2.00, 5.22, 0.00.